[1]
{"formula": "RbPuAgTeSe2", "functional": "PBE", "state": "relaxed", "volume_a3_per_cell": 380.4, "total_energy_ev_per_atom": -5.706, "m_tot_mub_per_atom": 0.705, "lattice": [[8.962, 0.000, 0.000], [0.000, 4.229, 0.000], [-3.692, 0.000, 10.038]], "species": ["Te", "Te", "Pu", "Pu", "Se", "Se", "Se", "Se", "Ag", "Ag", "Rb", "Rb"], "frac_coords": [[0.763, 0.750, 0.553], [0.237, 0.250, 0.447], [0.181, 0.250, 0.146], [0.819, 0.750, 0.854], [0.392, 0.750, 0.141], [0.608, 0.250, 0.859], [0.039, 0.250, 0.865], [0.961, 0.750, 0.135], [0.574, 0.250, 0.599], [0.426, 0.750, 0.401], [0.272, 0.750, 0.751], [0.728, 0.250, 0.249]]}



[2]
{"formula": "RbPuAgTe3", "functional": "PBE", "state": "relaxed", "volume_a3_per_cell": 419.9, "total_energy_ev_per_atom": -5.391, "m_tot_mub_per_atom": 0.666, "lattice": [[-4.203, 4.186, 5.917], [1.162, -1.658, -8.130], [-7.611, -8.575, 0.661]], "species": ["Te", "Te", "Te", "Te", "Te", "Te", "Rb", "Rb", "Ag", "Ag", "Pu", "Pu"], "frac_coords": [[0.373, 0.627, 0.042], [0.627, 0.373, 0.958], [0.627, 0.373, 0.542], [0.931, 0.069, 0.750], [0.373, 0.627, 0.458], [0.069, 0.931, 0.250], [0.249, 0.751, 0.750], [0.751, 0.249, 0.250], [0.463, 0.537, 0.250], [0.537, 0.463, 0.750], [0.000, 0.000, 0.500], [0.000, 0.000, 0.000]]}



[3]
{"formula": "PuReAg", "functional": "PBE", "state": "relaxed", "volume_a3_per_cell": 65.1, "formation_enthalpy_0k_ev_per_atom": 1.73, "m_tot_mub_per_atom": 0.003, "lattice": [[3.019, -1.578, 2.965], [-0.971, -0.032, 4.410], [-0.750, -3.917, 2.118]], "species": ["Ag", "Re", "Pu"], "frac_coords": [[0.000, 0.000, 0.000], [0.750, 0.750, 0.750], [0.250, 0.250, 0.250]]}



[4]
{"formula": "PuReAg", "functional": "PBE", "state": "relaxed", "volume_a3_per_cell": 64.2, "formation_enthalpy_0k_ev_per_atom": 1.62, "m_tot_mub_per_atom": 0.003, "lattice": [[-2.596, -0.323, 3.655], [-1.861, 3.690, 1.768], [-4.434, 0.658, -0.327]], "species": ["Ag", "Re", "Pu"], "frac_coords": [[0.000, 0.000, 0.000], [0.500, 0.500, 0.500], [0.250, 0.250, 0.250]]}



[5]
{"formula": "PuScAg", "functional": "PBE", "state": "relaxed", "volume_a3_per_cell": 74.7, "formation_enthalpy_0k_ev_per_atom": 0.50, "m_tot_mub_per_atom": 2.185, "lattice": [[3.131, 1.219, 3.326], [-0.668, -1.347, 4.482], [2.804, -3.284, 1.924]], "species": ["Sc", "Ag", "Pu"], "frac_coords": [[0.000, 0.000, 0.000], [0.250, 0.250, 0.250], [0.750, 0.750, 0.750]]}



[6]
{"formula": "PuSiAg", "functional": "PBE", "state": "relaxed", "volume_a3_per_cell": 75.6, "total_energy_ev_per_atom": -7.037, "m_tot_mub_per_atom": 1.715, "lattice": [[1.687, -2.954, 3.309], [-2.888, -1.692, 3.365], [-1.263, -4.575, -0.037]], "species": ["Ag", "Pu", "Si"], "frac_coords": [[0.000, 0.000, 0.000], [0.750, 0.750, 0.750], [0.500, 0.500, 0.500]]}



[7]
{"formula": "PuSiAg", "functional": "PBE", "state": "relaxed", "volume_a3_per_cell": 67.1, "total_energy_ev_per_atom": -7.525, "m_tot_mub_per_atom": 1.660, "lattice": [[2.410, 1.669, 3.495], [-0.867, 4.194, 1.572], [-1.973, 0.545, 4.077]], "species": ["Si", "Ag", "Pu"], "frac_coords": [[0.000, 0.000, 0.000], [0.250, 0.250, 0.250], [0.750, 0.750, 0.750]]}



[8]
{"formula": "SmPuAg", "functional": "PBE", "state": "relaxed", "volume_a3_per_cell": 91.5, "formation_enthalpy_0k_ev_per_atom": 0.22, "m_tot_mub_per_atom": 2.280, "lattice": [[-1.985, -3.038, 3.522], [-4.771, -1.615, -0.451], [-0.937, -4.851, -1.082]], "species": ["Ag", "Pu", "Sm"], "frac_coords": [[0.000, 0.000, 0.000], [0.250, 0.250, 0.250], [0.750, 0.750, 0.750]]}



[9]
{"formula": "PuTcAg", "functional": "PBE", "state": "relaxed", "volume_a3_per_cell": 64.6, "formation_enthalpy_0k_ev_per_atom": 0.90, "m_tot_mub_per_atom": 1.192, "lattice": [[0.000, 3.184, 3.184], [3.184, 0.000, 3.184], [3.184, 3.184, 0.000]], "species": ["Ag", "Tc", "Pu"], "frac_coords": [[0.000, 0.000, 0.000], [0.750, 0.750, 0.750], [0.250, 0.250, 0.250]]}



[10]
{"formula": "PuTcAg", "functional": "PBE", "state": "relaxed", "volume_a3_per_cell": 65.6, "formation_enthalpy_0k_ev_per_atom": 0.81, "m_tot_mub_per_atom": 1.276, "lattice": [[1.710, -1.844, 3.763], [4.438, -0.838, 0.294], [2.594, 2.480, 2.758]], "species": ["Ag", "Tc", "Pu"], "frac_coords": [[0.750, 0.750, 0.750], [0.250, 0.250, 0.250], [0.000, 0.000, 0.000]]}



[11]
{"formula": "PuAg3Te3", "functional": "PBE", "state": "relaxed", "volume_a3_per_cell": 393.2, "total_energy_ev_per_atom": -5.034, "m_tot_mub_per_atom": 0.714, "lattice": [[6.277, -4.617, 3.636], [7.813, 2.956, 2.039], [2.985, 1.080, 7.991]], "species": ["Te", "Te", "Te", "Te", "Te", "Te", "Ag", "Ag", "Ag", "Ag", "Ag", "Ag", "Pu", "Pu"], "frac_coords": [[0.753, 0.397, 0.074], [0.074, 0.753, 0.397], [0.247, 0.603, 0.926], [0.926, 0.247, 0.603], [0.397, 0.074, 0.753], [0.603, 0.926, 0.247], [0.773, 0.126, 0.482], [0.227, 0.874, 0.518], [0.518, 0.227, 0.874], [0.874, 0.518, 0.227], [0.482, 0.773, 0.126], [0.126, 0.482, 0.773], [0.667, 0.667, 0.667], [0.333, 0.333, 0.333]]}



[12]
{"formula": "PuTlAg", "functional": "PBE", "state": "relaxed", "volume_a3_per_cell": 143.5, "total_energy_ev_per_atom": -6.557, "m_tot_mub_per_atom": 1.919, "lattice": [[5.111, -3.171, 0.000], [5.111, 3.171, 0.000], [-2.555, 0.000, 4.427]], "species": ["Tl", "Tl", "Pu", "Pu", "Ag", "Ag"], "frac_coords": [[0.757, 0.257, 0.007], [0.257, 0.757, 0.007], [0.340, 0.340, 0.341], [0.840, 0.840, 0.340], [0.423, 0.924, 0.674], [0.924, 0.423, 0.674]]}



[13]
{"formula": "PuTlAg", "functional": "PBE", "state": "relaxed", "volume_a3_per_cell": 85.3, "total_energy_ev_per_atom": -6.148, "m_tot_mub_per_atom": 2.052, "lattice": [[3.733, -2.304, 2.272], [-0.349, -4.812, 1.064], [2.746, -3.281, -2.469]], "species": ["Tl", "Ag", "Pu"], "frac_coords": [[0.000, 0.000, 0.000], [0.250, 0.250, 0.250], [0.750, 0.750, 0.750]]}



[14]
{"formula": "TmPuAg", "functional": "PBE", "state": "relaxed", "volume_a3_per_cell": 77.7, "formation_enthalpy_0k_ev_per_atom": 0.58, "m_tot_mub_per_atom": 2.049, "lattice": [[4.326, 1.322, 1.577], [0.465, 3.920, 2.715], [1.087, -0.420, 4.647]], "species": ["Ag", "Tm", "Pu"], "frac_coords": [[0.250, 0.250, 0.250], [0.000, 0.000, 0.000], [0.750, 0.750, 0.750]]}



[15]
{"formula": "YPuAg", "functional": "PBE", "state": "relaxed", "volume_a3_per_cell": 75.8, "formation_enthalpy_0k_ev_per_atom": 0.63, "m_tot_mub_per_atom": 2.007, "lattice": [[0.000, 3.359, 3.359], [3.359, 0.000, 3.359], [3.359, 3.359, 0.000]], "species": ["Ag", "Pu", "Y"], "frac_coords": [[0.250, 0.250, 0.250], [0.750, 0.750, 0.750], [0.000, 0.000, 0.000]]}



[16]
{"formula": "PuZnAg", "functional": "PBE", "state": "relaxed", "volume_a3_per_cell": 72.9, "formation_enthalpy_0k_ev_per_atom": 0.18, "m_tot_mub_per_atom": 1.996, "lattice": [[-1.648, -3.830, -2.146], [-4.022, 0.206, -2.401], [0.048, -0.268, -4.681]], "species": ["Pu", "Zn", "Ag"], "frac_coords": [[0.750, 0.750, 0.750], [0.000, 0.000, 0.000], [0.250, 0.250, 0.250]]}



[17]
{"formula": "PuZnAg", "functional": "PBE", "state": "relaxed", "volume_a3_per_cell": 60.3, "formation_enthalpy_0k_ev_per_atom": -0.18, "m_tot_mub_per_atom": 1.896, "lattice": [[-3.343, 2.918, 1.945], [-0.888, -4.742, -0.447], [1.156, -0.470, 2.693]], "species": ["Pu", "Ag", "Zn"], "frac_coords": [[0.333, 0.667, 0.500], [0.000, 0.000, 0.000], [0.667, 0.333, 0.000]]}



[18]
{"formula": "PuZrAg", "functional": "PBE", "state": "relaxed", "volume_a3_per_cell": 74.6, "formation_enthalpy_0k_ev_per_atom": 0.56, "m_tot_mub_per_atom": 2.283, "lattice": [[0.000, 3.341, 3.341], [3.341, 0.000, 3.341], [3.341, 3.341, 0.000]], "species": ["Zr", "Pu", "Ag"], "frac_coords": [[0.750, 0.750, 0.750], [0.250, 0.250, 0.250], [0.000, 0.000, 0.000]]}



[19]
{"formula": "RbAg2", "functional": "PBE", "state": "relaxed", "volume_a3_per_cell": 150.9, "total_energy_ev_per_atom": -2.109, "lattice": [[0.000, 4.225, 4.225], [4.225, 0.000, 4.225], [4.225, 4.225, 0.000]], "species": ["Rb", "Rb", "Ag", "Ag", "Ag", "Ag"], "frac_coords": [[0.000, 0.000, 0.000], [0.250, 0.250, 0.250], [0.625, 0.125, 0.625], [0.125, 0.625, 0.625], [0.625, 0.625, 0.625], [0.625, 0.625, 0.125]]}



[20]
{"formula": "RbAg2", "functional": "PBE", "state": "relaxed", "volume_a3_per_cell": 85.9, "total_energy_ev_per_atom": -2.066, "lattice": [[-5.814, -2.925, 1.048], [-4.628, 0.870, 4.613], [4.026, 2.850, -4.373]], "species": ["Ag", "Ag", "Rb"], "frac_coords": [[0.720, 0.720, 0.000], [0.280, 0.280, 0.000], [0.000, 0.000, 0.000]]}



[21]
{"formula": "RbAg", "functional": "PBE", "state": "relaxed", "volume_a3_per_cell": 122.7, "total_energy_ev_per_atom": -1.652, "lattice": [[0.549, -5.274, -1.731], [-4.404, -3.422, 0.044], [-2.325, -1.614, -4.806]], "species": ["Ag", "Rb"], "frac_coords": [[0.000, 0.000, 0.000], [0.250, 0.250, 0.250]]}



[22]
{"formula": "RbAg", "functional": "PBE", "state": "relaxed", "volume_a3_per_cell": 95.8, "total_energy_ev_per_atom": -1.766, "lattice": [[0.000, 3.631, 3.631], [3.631, 0.000, 3.631], [3.631, 3.631, 0.000]], "species": ["Ag", "Rb"], "frac_coords": [[0.000, 0.000, 0.000], [0.500, 0.500, 0.500]]}



[23]
{"formula": "Rb11Ag3", "functional": "PBE", "state": "relaxed", "volume_a3_per_cell": 831.2, "total_energy_ev_per_atom": -1.279, "lattice": [[9.392, -5.701, 0.000], [9.392, 5.701, 0.000], [-3.908, 0.000, 7.762]], "species": ["Ag", "Ag", "Ag", "Rb", "Rb", "Rb", "Rb", "Rb", "Rb", "Rb", "Rb", "Rb", "Rb", "Rb"], "frac_coords": [[0.375, 0.375, 0.626], [0.654, 0.654, 0.394], [0.933, 0.933, 0.169], [0.703, 0.341, 0.019], [0.295, 0.295, 0.026], [0.969, 0.606, 0.286], [0.606, 0.966, 0.769], [0.700, 0.339, 0.501], [0.966, 0.606, 0.769], [0.339, 0.700, 0.501], [0.013, 0.013, 0.755], [0.341, 0.703, 0.019], [0.154, 0.154, 0.392], [0.606, 0.969, 0.286]]}



[24]
{"formula": "Rb2Ag", "functional": "PBE", "state": "relaxed", "volume_a3_per_cell": 297.8, "total_energy_ev_per_atom": -1.159, "lattice": [[7.372, -1.328, -0.278], [2.831, -6.122, 3.269], [2.641, -5.614, -4.207]], "species": ["Rb", "Rb", "Rb", "Rb", "Ag", "Ag"], "frac_coords": [[0.625, 0.625, 0.625], [0.625, 0.125, 0.625], [0.125, 0.625, 0.625], [0.625, 0.625, 0.125], [0.250, 0.250, 0.250], [0.000, 0.000, 0.000]]}



[25]
{"formula": "RbAg2", "functional": "PBE", "state": "relaxed", "volume_a3_per_cell": 167.8, "total_energy_ev_per_atom": -2.102, "lattice": [[-4.677, -4.112, 1.049], [3.008, -0.725, 5.505], [-3.243, 4.761, -2.587]], "species": ["Rb", "Rb", "Ag", "Ag", "Ag", "Ag"], "frac_coords": [[0.819, 0.569, 0.250], [0.181, 0.431, 0.750], [0.235, 0.160, 0.074], [0.414, 0.840, 0.574], [0.765, 0.840, 0.926], [0.586, 0.160, 0.426]]}



[26]
{"formula": "Rb2Ag", "functional": "PBE", "state": "relaxed", "volume_a3_per_cell": 899.0, "total_energy_ev_per_atom": -1.217, "lattice": [[3.156, 8.359, 6.125], [9.971, 4.083, -1.130], [1.377, 9.773, -4.467]], "species": ["Rb", "Rb", "Rb", "Rb", "Ag", "Ag"], "frac_coords": [[0.875, 0.375, 0.375], [0.375, 0.375, 0.375], [0.375, 0.375, 0.875], [0.375, 0.875, 0.375], [0.250, 0.250, 0.250], [0.500, 0.500, 0.500]]}



[27]
{"formula": "RbAg", "functional": "PBE", "state": "relaxed", "volume_a3_per_cell": 85.9, "total_energy_ev_per_atom": -1.720, "lattice": [[-2.564, 3.822, -0.169], [-1.779, -4.027, -1.351], [-1.489, -0.806, 4.362]], "species": ["Rb", "Ag"], "frac_coords": [[0.333, 0.667, 0.250], [0.667, 0.333, 0.750]]}



[28]
{"formula": "RbReAg", "functional": "PBE", "state": "relaxed", "volume_a3_per_cell": 95.9, "total_energy_ev_per_atom": -3.354, "m_tot_mub_per_atom": 1.461, "lattice": [[0.000, 3.634, 3.634], [3.634, 0.000, 3.634], [3.634, 3.634, 0.000]], "species": ["Rb", "Re", "Ag"], "frac_coords": [[0.250, 0.250, 0.250], [0.750, 0.750, 0.750], [0.000, 0.000, 0.000]]}



[29]
{"formula": "RbReAg3S4", "functional": "PBE", "state": "relaxed", "volume_a3_per_cell": 255.5, "total_energy_ev_per_atom": -4.430, "m_tot_mub_per_atom": 0.127, "lattice": [[-1.982, -3.949, -4.554], [-1.082, -4.483, 4.359], [-5.930, 2.138, 0.727]], "species": ["Ag", "Ag", "Ag", "S", "S", "S", "S", "Re", "Rb"], "frac_coords": [[0.500, 0.000, 0.500], [0.000, 0.500, 0.500], [0.500, 0.500, 0.000], [0.292, 0.708, 0.708], [0.708, 0.708, 0.292], [0.292, 0.292, 0.292], [0.708, 0.292, 0.708], [0.500, 0.500, 0.500], [0.000, 0.000, 0.000]]}